First-principles (PBE-GGA) data for crystalline LaErMgAg at its relaxed geometry, as listed in Alexandria.

abc: 7.5885 7.5885 7.5885
angles: 90.00 90.00 90.00
With the nearest neighbours (Å) after each atom.
Space group F-43m (No. 216)
Inequivalent atoms, fractional coordinates:
La1 0.0000 0.0000 0.0000  4 Mg 3.29, 4 Ag 3.29
Er1 0.0000 0.0000 0.5000  4 Mg 3.29, 4 Ag 3.29
Mg1 0.2500 0.2500 0.2500  4 La 3.29, 4 Er 3.29
Ag1 0.2500 0.2500 0.7500  4 La 3.29, 4 Er 3.29

Results
Energy ... -3.6166 eV per atom
Mass density ... 6.66 g/cm3
Energy of formation ... -51 kJ/mol of formula units
Size of the total moment ... 0.0 Bohr magnetons per cell
Energy relative to the lowest polymorph listed for this composition ... 50 meV/atom